VASP calculation (PBE) on La5Dy2Er4 after structural relaxation.

Unit cell a=12.8585 b=12.8585 c=12.8585 alpha=164.15 beta=137.94 gamma=45.22
Positions (direct):
La 0.0000 0.0000 0.0000
La 0.0546 0.3536 0.7010
La 0.3474 0.6464 0.7010
La 0.6526 0.3536 0.2990
La 0.9454 0.6464 0.2990
Dy 0.2697 0.7697 0.5000
Dy 0.7303 0.2303 0.5000
Er 0.3175 0.5000 0.8175
Er 0.4039 0.9039 0.5000
Er 0.5961 0.0961 0.5000
Er 0.6825 0.5000 0.1825

Computed properties:
The magnetization is 0.000 μB/f.u. The calculation puts the energy above the most stable polymorph in this dataset at 96.4 meV per atom. The value obtained for the formation energy is 0.18 eV per atom. Its space group is No. 71.